(1)
Computed, not measured: an optimized crystal structure of ThRe at the PBE-GGA level of DFT.

Structure (POSCAR):
```
ThRe
1.0
-0.145 1.424 -3.921
-3.777 -2.342 -0.711
-1.107 5.311 1.970
Re Th
2 2
Direct
0.750 0.107 0.115
0.250 0.893 0.885
0.250 0.656 0.301
0.750 0.344 0.699
```

Calculated values
M_tot = 0.0 μB per cell
ΔE_f = 0.2 eV/f.u.
Symmetry = P2_1/m (11)



(2)
Computed, not measured: an optimized crystal structure of ThRe6 at the PBE-GGA level of DFT.

Structure (POSCAR):
```
ThRe6
1.0
5.305 0.000 0.000
0.000 8.621 0.000
0.000 0.000 10.877
Re Th
24 4
Direct
0.008 0.931 0.307
0.750 0.684 0.259
0.992 0.569 0.807
0.750 0.353 0.655
0.250 0.647 0.345
0.250 0.816 0.759
0.992 0.069 0.693
0.750 0.853 0.845
0.750 0.587 0.024
0.508 0.069 0.693
0.250 0.413 0.976
0.250 0.092 0.919
0.250 0.316 0.741
0.492 0.931 0.307
0.250 0.913 0.524
0.750 0.408 0.419
0.750 0.087 0.476
0.250 0.147 0.155
0.492 0.431 0.193
0.250 0.592 0.581
0.750 0.184 0.241
0.750 0.908 0.081
0.008 0.431 0.193
0.508 0.569 0.807
0.250 0.272 0.446
0.750 0.728 0.554
0.250 0.772 0.054
0.750 0.228 0.946
```

Calculated values
M_tot = 0.0 μB per cell
ΔE_f = 0.4 eV/f.u.
Symmetry = Pnma (62)



(3)
Computed, not measured: an optimized crystal structure of ThTiRe at the PBE-GGA level of DFT.

Structure (POSCAR):
```
ThTiRe
1.0
3.213 0.000 0.000
0.000 4.513 0.000
-1.607 0.000 9.181
Re Ti Th
2 2 2
Direct
0.556 0.250 0.112
0.444 0.750 0.888
0.058 0.750 0.117
0.942 0.250 0.883
0.813 0.750 0.626
0.187 0.250 0.374
```

Calculated values
M_tot = 0.0 μB per cell
ΔE_f = 0.2 eV/f.u.
Symmetry = Cmcm (63)



(4)
Computed, not measured: an optimized crystal structure of Th2TlRe at the PBE-GGA level of DFT.

Structure (POSCAR):
```
Th2TlRe
1.0
-3.124 -0.288 -1.487
0.623 -3.351 -0.660
-3.533 -2.201 7.848
Th Re Tl
2 1 1
Direct
0.000 0.000 0.797
0.000 0.000 0.203
0.500 0.500 0.000
0.500 0.500 0.500
```

Calculated values
M_tot = 0.0 μB per cell
ΔE_f = -0.3 eV/f.u.
Symmetry = P4/mmm (123)



(5)
Computed, not measured: an optimized crystal structure of Th3TlRe at the PBE-GGA level of DFT.

Structure (POSCAR):
```
Th3TlRe
1.0
-2.646 -4.583 0.904
5.581 -3.987 -3.875
0.906 1.093 8.188
Th Tl Re
6 2 2
Direct
0.500 0.304 0.000
0.500 0.696 0.000
0.000 0.873 0.746
0.000 0.127 0.254
0.500 0.500 0.500
0.500 0.000 0.500
0.000 0.631 0.263
0.000 0.369 0.737
0.500 0.108 0.217
0.500 0.892 0.783
```

Calculated values
M_tot = 0.0 μB per cell
ΔE_f = 0.3 eV/f.u.
Symmetry = Cmmm (65)



(6)
Computed, not measured: an optimized crystal structure of Th3TlRe at the PBE-GGA level of DFT.

Structure (POSCAR):
```
Th3TlRe
1.0
-2.847 -3.983 3.709
1.157 -2.120 -5.647
8.401 0.118 3.619
Re Th Tl
2 6 2
Direct
0.250 0.250 0.000
0.750 0.750 0.000
0.703 0.559 0.262
0.297 0.441 0.738
0.694 0.193 0.887
0.941 0.797 0.738
0.306 0.807 0.113
0.059 0.203 0.262
0.284 0.784 0.500
0.716 0.216 0.500
```

Calculated values
M_tot = 0.0 μB per cell
ΔE_f = -0.3 eV/f.u.
Symmetry = Fmmm (69)



(7)
Computed, not measured: an optimized crystal structure of Th6TlRe2 at the PBE-GGA level of DFT.

Structure (POSCAR):
```
Th6TlRe2
1.0
-6.475 3.024 5.117
-2.058 -7.214 -4.580
6.992 -2.844 4.504
Th Tl Re
12 2 4
Direct
0.207 0.240 0.446
0.480 0.297 0.184
0.113 0.297 0.816
0.692 0.357 0.665
0.520 0.703 0.816
0.308 0.973 0.665
0.692 0.027 0.335
0.207 0.760 0.967
0.308 0.643 0.335
0.793 0.240 0.033
0.793 0.760 0.554
0.887 0.703 0.184
0.000 0.000 0.000
0.000 0.500 0.500
0.500 0.365 0.865
0.668 0.000 0.668
0.500 0.635 0.135
0.332 0.000 0.332
```

Calculated values
M_tot = 0.0 μB per cell
ΔE_f = -0.3 eV/f.u.
Symmetry = Immm (71)



(8)
Computed, not measured: an optimized crystal structure of Th2TlRe at the PBE-GGA level of DFT.

Structure (POSCAR):
```
Th2TlRe
1.0
4.168 0.000 0.000
2.084 3.610 0.000
2.084 1.203 8.123
Re Tl Th
1 1 2
Direct
0.000 0.000 0.000
0.500 0.500 0.500
0.271 0.271 0.186
0.729 0.729 0.814
```

Calculated values
M_tot = 0.0 μB per cell
ΔE_f = 0.3 eV/f.u.
Symmetry = R-3m (166)



Number 1: E -39.4 eV/cell. Number 2: E -326.7 eV/cell. Number 3: E -55.1 eV/cell. Number 4: E -29.9 eV/cell. Number 5: E -73.6 eV/cell. Number 6: E -74.8 eV/cell. Number 7: E -144.1 eV/cell. Number 8: E -29.4 eV/cell.